A plane-wave DFT calculation with PBE-GGA was carried out for a geometry-optimized TbDy2CdN structure.

Cell lengths 4.826, 4.826, 4.861 Å; angles 90.00, 90.00, 90.00 degrees
Space group P4/mmm (No. 123)
Unique sites:
Tb 0.000 0.000 0.000 (multiplicity 1)
Dy 0.000 0.500 0.500 (multiplicity 2)
Cd 0.500 0.500 0.000 (multiplicity 1)
N 0.000 0.000 0.500 (multiplicity 1)

Output
**Crystal system**: tetragonal
**Formation energy from raw total energies**: -0.843 eV per atom
**Fermi-level density of states**: 4.6 states/eV/f.u.
**Calculated volume**: 22.6 Å³/atom